[1]
Here is a relaxed structure of Li2ZnGa5 from the Alexandria database. Energies are from PBE.

space group = I4/mmm
spin magnetization = 0.00 μB/f.u.
polymorph energy (0 for the lowest one) = 0.005 eV/atom
formation energy from the elements = -0.18 eV/atom

a b c (Å): 5.7033 5.7033 5.7033
angles (deg): 120.29 120.29 89.50
Sites, in units of the cell vectors:
Li  0.0000  0.5000  0.5000
Li  0.5000  0.0000  0.5000
Zn  0.0000  0.0000  0.0000
Ga  0.0000  0.0000  0.5000
Ga  0.0000  0.5000  0.0000
Ga  0.5000  0.0000  0.0000
Ga  0.5000  0.5000  0.0000
Ga  0.5000  0.5000  0.5000

=====

[2]
Here is a relaxed structure of H2PdF from the Alexandria database. Energies are from PBE.

space group = Fm-3m
spin magnetization = 0.00 μB/f.u.
polymorph energy (0 for the lowest one) = 0.892 eV/atom

a b c (Å): 3.5320 3.5320 3.5320
angles (deg): 60.00 60.00 60.00
Sites, in units of the cell vectors:
H  0.2500  0.2500  0.2500
H  0.7500  0.7500  0.7500
Pd  0.0000  0.0000  0.0000
F  0.5000  0.5000  0.5000

=====

[3]
Here is a relaxed structure of NpI2Br6 from the Alexandria database. Energies are from PBE.

space group = C2/c
spin magnetization = 2.97 μB/f.u.
raw formation energy = -678 meV/atom

a b c (Å): 10.7172 10.7172 7.9915
angles (deg): 96.30 96.30 81.03
Sites, in units of the cell vectors:
Np  0.0720  0.9280  0.7500
Np  0.9280  0.0720  0.2500
I  0.3633  0.3638  0.0899
I  0.3638  0.3633  0.5899
I  0.6362  0.6367  0.4101
I  0.6367  0.6362  0.9101
Br  0.0181  0.1604  0.5886
Br  0.0956  0.6903  0.8234
Br  0.1604  0.0181  0.0886
Br  0.2310  0.4962  0.3401
Br  0.3097  0.9044  0.6766
Br  0.4962  0.2310  0.8401
Br  0.5038  0.7690  0.1599
Br  0.6903  0.0956  0.3234
Br  0.7690  0.5038  0.6599
Br  0.8396  0.9819  0.9114
Br  0.9044  0.3097  0.1766
Br  0.9819  0.8396  0.4114